Tb4ZnIn | GGA-PBE | optimized geometry

Computed properties:
**Formation energy from the elements**: -240 meV/atom
**M_tot**: 1.5 μB per cell
**Total energy**: -3.995 eV/atom
**D(E_F)**: 7.02 states/eV/f.u.
**SG**: C2/m
**ΔE to the lowest computed polymorph**: 0 meV per atom

a = 3.617 Å, b = 6.702 Å, c = 8.525 Å
α = 115.58°, β = 77.75°, γ = 74.34°
Sites, in units of the cell vectors:
Tb: 0.839 0.508 0.815
Tb: 0.311 0.041 0.337
Tb: 0.161 0.492 0.185
Tb: 0.689 0.959 0.663
Zn: 0.500 0.500 0.500
In: 0.000 0.000 0.000